1.
First-principles (PBE) data for crystalline Sm6AgPd3 at its relaxed geometry, as listed in Alexandria via LeMat-Bulk.

a b c (Å): 9.1727 9.1727 6.8885
angles (deg): 90.00 90.00 109.48
Last column: nearest neighbours and their distance in Å.
Atoms (fractional coordinates):
Sm 0.0375 0.9625 0.5000  2 Ag 2.90-3.17, 4 Pd 2.91-3.06
Sm 0.1044 0.5183 0.9734  3 Pd 2.92-3.03, 1 Ag 3.01
Sm 0.2710 0.3397 0.3565  4 Pd 2.89-3.11
Sm 0.2760 0.7240 0.4453  1 Ag 3.17, 3 Pd 3.32-3.41, 2 Sm 3.46
Sm 0.3397 0.2710 0.8565  4 Pd 2.89-3.11
Sm 0.4817 0.8956 0.9734  3 Pd 2.92-3.03, 1 Ag 3.01
Sm 0.5183 0.1044 0.4734  3 Pd 2.92-3.03, 1 Ag 3.01
Sm 0.6603 0.7290 0.3565  4 Pd 2.89-3.11
Sm 0.7240 0.2760 0.9453  1 Ag 3.17, 3 Pd 3.32-3.41, 2 Sm 3.46
Sm 0.7290 0.6603 0.8565  4 Pd 2.89-3.11
Sm 0.8956 0.4817 0.4734  3 Pd 2.92-3.03, 1 Ag 3.01
Sm 0.9625 0.0375 0.0000  2 Ag 2.90-3.17, 4 Pd 2.91-3.06
Ag 0.1586 0.8414 0.8284  5 Sm 2.90-3.17, 2 Pd 2.94
Ag 0.8414 0.1586 0.3284  5 Sm 2.90-3.17, 2 Pd 2.94
Pd 0.0239 0.2612 0.6848  6 Sm 2.91-3.11, 1 Ag 2.94, 1 Pd 3.02
Pd 0.2612 0.0239 0.1848  6 Sm 2.91-3.11, 1 Ag 2.94, 1 Pd 3.02
Pd 0.4271 0.5729 0.0744  6 Sm 2.89-3.01
Pd 0.5729 0.4271 0.5744  6 Sm 2.89-3.01
Pd 0.7388 0.9761 0.6848  6 Sm 2.91-3.11, 1 Ag 2.94, 1 Pd 3.02
Pd 0.9761 0.7388 0.1848  6 Sm 2.91-3.11, 1 Ag 2.94, 1 Pd 3.02

Results
Fermi-level density of states, states/eV/f.u.: 10.7
Space group: No. 36
E_tot, eV per atom: -5.106

---

2.
First-principles (PBE) data for crystalline MgPF2 at its relaxed geometry, as listed in Alexandria via LeMat-Bulk.

a b c (Å): 4.2583 4.2583 4.2583
angles (deg): 60.00 60.00 60.00
Last column: nearest neighbours and their distance in Å.
Atoms (fractional coordinates):
Mg 0.0000 0.0000 0.0000  8 F 2.61
P 0.5000 0.5000 0.5000  8 F 2.61
F 0.2500 0.2500 0.2500  4 Mg 2.61, 4 P 2.61
F 0.7500 0.7500 0.7500  4 Mg 2.61, 4 P 2.61

Results
Fermi-level density of states, states/eV/f.u.: 2.6
Space group: No. 225
Energy relative to the elements, uncorrected, eV/f.u.: -3.5
E_tot, eV per atom: -3.566
E above lowest polymorph, kJ/mol of formula units: 477

---

3.
First-principles (PBE) data for crystalline In2FeBi2 at its relaxed geometry, as listed in Alexandria via LeMat-Bulk.

a b c (Å): 6.8806 6.8806 5.7274
angles (deg): 90.00 90.00 90.00
Last column: nearest neighbours and their distance in Å.
Atoms (fractional coordinates):
In 0.1727 0.3273 0.0000  6 Bi 3.29-3.67, 5 In 3.36-3.60
In 0.3273 0.8273 0.0000  6 Bi 3.29-3.67, 5 In 3.36-3.60
In 0.6727 0.1727 0.0000  6 Bi 3.29-3.67, 5 In 3.36-3.60
In 0.8273 0.6727 0.0000  6 Bi 3.29-3.67, 5 In 3.36-3.60
Fe 0.0000 0.0000 0.5000  4 Bi 2.58
Fe 0.5000 0.5000 0.5000  4 Bi 2.58
Bi 0.1611 0.6611 0.5000  2 Fe 2.58
Bi 0.3389 0.1611 0.5000  2 Fe 2.58
Bi 0.6611 0.8389 0.5000  2 Fe 2.58
Bi 0.8389 0.3389 0.5000  2 Fe 2.58

Results
Fermi-level density of states, states/eV/f.u.: 2.6
Space group: No. 127
E_tot, eV per atom: -3.927

---

4.
First-principles (PBE) data for crystalline CaZn2Os at its relaxed geometry, as listed in Alexandria via LeMat-Bulk.

a b c (Å): 9.4092 9.4092 9.4092
angles (deg): 152.56 152.56 39.20
Last column: nearest neighbours and their distance in Å.
Atoms (fractional coordinates):
Ca 0.0000 0.0000 0.0000  4 Zn 3.05, 4 Os 3.16
Ca 0.7500 0.2500 0.5000  4 Zn 3.05, 4 Os 3.16
Zn 0.2728 0.6250 0.1478  2 Zn 2.41, 2 Os 2.52
Zn 0.3750 0.5228 0.6478  2 Zn 2.41, 2 Os 2.52
Zn 0.4772 0.1250 0.8522  2 Zn 2.41, 2 Os 2.52
Zn 0.8750 0.7272 0.3522  2 Zn 2.41, 2 Os 2.52
Os 0.2500 0.7500 0.5000  4 Zn 2.52
Os 0.5000 0.5000 0.0000  4 Zn 2.52

Results
Fermi-level density of states, states/eV/f.u.: 2.1
Space group: No. 122
E_tot, eV per atom: -3.542

---

5.
First-principles (PBE) data for crystalline Cd2AgF6 at its relaxed geometry, as listed in Alexandria via LeMat-Bulk.

a b c (Å): 5.9247 5.2523 11.2916
angles (deg): 90.00 118.64 90.00
Last column: nearest neighbours and their distance in Å.
Atoms (fractional coordinates):
Cd 0.1810 0.0319 0.1889  6 F 2.19-2.38
Cd 0.1810 0.4681 0.6889  6 F 2.19-2.38
Cd 0.8190 0.5319 0.3111  6 F 2.19-2.38
Cd 0.8190 0.9681 0.8111  6 F 2.19-2.38
Ag 0.5000 0.0000 0.0000  4 F 2.13-2.21
Ag 0.5000 0.5000 0.5000  4 F 2.13-2.21
F 0.1472 0.7328 0.8293  2 Cd 2.19-2.23
F 0.1472 0.7672 0.3293  2 Cd 2.19-2.23
F 0.1712 0.1787 0.9928  1 Ag 2.13, 1 Cd 2.32
F 0.1712 0.3213 0.4928  1 Ag 2.13, 1 Cd 2.32
F 0.4940 0.1916 0.8243  1 Ag 2.21, 2 Cd 2.27-2.32
F 0.4940 0.3084 0.3243  1 Ag 2.21, 2 Cd 2.27-2.32
F 0.5060 0.6916 0.6757  1 Ag 2.21, 2 Cd 2.27-2.32
F 0.5060 0.8084 0.1757  1 Ag 2.21, 2 Cd 2.27-2.32
F 0.8288 0.6787 0.5072  1 Ag 2.13, 1 Cd 2.32
F 0.8288 0.8213 0.0072  1 Ag 2.13, 1 Cd 2.32
F 0.8528 0.2328 0.6707  2 Cd 2.19-2.23
F 0.8528 0.2672 0.1707  2 Cd 2.19-2.23

Results
Space group: No. 14
Energy relative to the elements, uncorrected, eV/f.u.: -16.2
E_tot, eV per atom: -3.565
E above lowest polymorph, kJ/mol of formula units: 10

---

6.
First-principles (PBE) data for crystalline Al2SbRu at its relaxed geometry, as listed in Alexandria via LeMat-Bulk.

a b c (Å): 4.6271 4.6271 5.0907
angles (deg): 100.68 100.68 41.20
Last column: nearest neighbours and their distance in Å.
Atoms (fractional coordinates):
Al 0.2306 0.2306 0.1928  3 Ru 2.61-2.71, 2 Al 2.62, 1 Sb 2.77
Al 0.7694 0.7694 0.8072  3 Ru 2.61-2.71, 2 Al 2.62, 1 Sb 2.77
Sb 0.0000 0.0000 0.5000  6 Al 2.77-3.02, 4 Ru 3.02
Ru 0.5000 0.5000 0.0000  6 Al 2.61-2.71

Results
Fermi-level density of states, states/eV/f.u.: 1.7
Space group: No. 12
Energy relative to the elements, uncorrected, eV/f.u.: -0.3
E_tot, eV per atom: -5.292

---

7.
First-principles (PBE) data for crystalline CaU3Se6 at its relaxed geometry, as listed in Alexandria via LeMat-Bulk.

a b c (Å): 11.6368 4.1102 12.1197
angles (deg): 90.00 108.25 90.00
Last column: nearest neighbours and their distance in Å.
Atoms (fractional coordinates):
Ca 0.0467 0.2500 0.1884  8 Se 3.04-3.24
Ca 0.9533 0.7500 0.8116  8 Se 3.04-3.24
U 0.1510 0.2500 0.5804  6 Se 2.82-2.89
U 0.3124 0.7500 0.9981  7 Se 2.90-3.08
U 0.4416 0.2500 0.3344  6 Se 2.85-2.89
U 0.5584 0.7500 0.6656  6 Se 2.85-2.89
U 0.6876 0.2500 0.0019  7 Se 2.90-3.08
U 0.8490 0.7500 0.4196  6 Se 2.82-2.89
Se 0.0869 0.7500 0.4041  3 U 2.83-2.89
Se 0.1233 0.2500 0.9641  2 U 2.94, 3 Ca 3.04-3.12
Se 0.2012 0.7500 0.7477  3 U 2.82-2.90
Se 0.2691 0.7500 0.2304  3 U 2.87-3.01, 2 Ca 3.22
Se 0.3888 0.2500 0.5521  4 U 2.88-2.89
Se 0.4852 0.2500 0.1154  4 U 2.85-3.08
Se 0.5148 0.7500 0.8846  4 U 2.85-3.08
Se 0.6112 0.7500 0.4479  4 U 2.88-2.89
Se 0.7309 0.2500 0.7696  3 U 2.87-3.01, 2 Ca 3.22
Se 0.7988 0.2500 0.2523  3 U 2.82-2.90
Se 0.8767 0.7500 0.0359  2 U 2.94, 3 Ca 3.04-3.12
Se 0.9131 0.2500 0.5959  3 U 2.83-2.89

Results
Fermi-level density of states, states/eV/f.u.: 16.8
Space group: No. 11
Energy relative to the elements, uncorrected, eV/f.u.: -12.4
E_tot, eV per atom: -6.921

---

8.
First-principles (PBE) data for crystalline KLiTa2 at its relaxed geometry, as listed in Alexandria via LeMat-Bulk.

a b c (Å): 2.8367 2.8367 11.8637
angles (deg): 90.00 90.00 117.12
Last column: nearest neighbours and their distance in Å.
Atoms (fractional coordinates):
K 0.0000 0.0000 0.0000  6 K 2.84-2.96
Li 0.0000 0.0000 0.5000  6 Li 2.84-2.96, 4 Ta 3.01
Ta 0.5000 0.5000 0.2788  6 Ta 2.84-2.96, 2 Li 3.01
Ta 0.5000 0.5000 0.7212  6 Ta 2.84-2.96, 2 Li 3.01

Results
Fermi-level density of states, states/eV/f.u.: 3.3
Space group: No. 65
E_tot, eV per atom: -5.797
E above lowest polymorph, kJ/mol of formula units: 115